# Tb4Dy7Y2

An optimized crystal structure of Tb4Dy7Y2 (PBE, Alexandria via LeMat-Bulk).

Calculated total energy ... -4.883 eV/atom
Spin magnetization ... 0.0 μB per formula unit
Formation energy from the elements ... 0.337 kcal/mol of atoms
Calculated volume ... 412 Å³/cell

```
Tb4Dy7Y2
1.0
6.867 -3.990 -0.143
-6.026 13.345 0.157
-0.377 0.683 6.099
Tb Y Dy
4 2 7
direct
0.924 0.847 0.537
0.615 0.230 0.692
0.076 0.153 0.463
0.385 0.770 0.308
0.692 0.385 0.155
0.308 0.615 0.845
0.000 0.000 0.000
0.539 0.077 0.231
0.232 0.461 0.385
0.847 0.693 0.077
0.461 0.923 0.769
0.153 0.307 0.923
0.768 0.539 0.615
```